VASP calculation (PBE+U) on Li7Co5O12 after structural relaxation.

a b c (Å): 5.6774 5.7574 7.5270
angles (deg): 112.86 79.21 119.52
Last column: magnetic moment on the atom in μB.
Fractional positions:
1 Li 0.6641 0.1624 0.1659  -0.01
2 Li 0.1634 0.1602 0.1711  0.00
3 Li 0.3359 0.8376 0.8341  -0.01
4 Li 0.8366 0.8398 0.8289  0.00
5 Li 0.0000 0.5000 0.5000  0.00
6 Li 0.5000 0.5000 0.5000  0.00
7 Li 0.0000 0.0000 0.5000  -0.01
8 Co 0.1640 0.6652 0.1695  -0.10
9 Co 0.5000 0.0000 0.5000  -0.94
10 Co 0.6695 0.6674 0.1713  -0.23
11 Co 0.8360 0.3348 0.8305  -0.10
12 Co 0.3305 0.3326 0.8287  -0.23
13 O 0.8392 0.5856 0.3132  -0.10
14 O 0.3464 0.6068 0.3302  0.04
15 O 0.5148 0.2806 0.9920  -0.01
16 O 0.0149 0.2733 0.9896  0.01
17 O 0.1981 0.9464 0.6662  -0.05
18 O 0.6657 0.9469 0.6654  -0.05
19 O 0.4852 0.7194 0.0080  -0.01
20 O 0.9851 0.7267 0.0104  0.01
21 O 0.1608 0.4144 0.6868  -0.10
22 O 0.6536 0.3932 0.6698  0.04
23 O 0.8019 0.0536 0.3338  -0.05
24 O 0.3343 0.0531 0.3346  -0.05

- ΔE to the lowest computed polymorph (eV/atom) = 0.010
- M_tot (μB per cell) = 2.0
- space group = No. 2
- calculated volume (Å³/cell) = 197.3
- electronic total energy (eV per atom) = -5.55